Here is a relaxed structure of AlTl2Fe from the Alexandria database. Energies are from GGA-PBEsol.

abc: 4.100 4.100 5.455
angles: 112.07 112.07 90.00
Site moments in Bohr magnetons follow the coordinates.
Element x y z (fractional)
Fe  0.250  0.750  0.500  2.76
Al  0.500  0.500  0.000  0.01
Tl  0.750  0.250  0.500  0.01
Tl  0.000  0.000  0.000  0.01

Results
For the total energy, the calculation gives -4.05 eV/atom. Its space group is I-4m2. The value obtained for the formation energy is 51 kJ per mole of atoms. The value obtained for the density of states at the Fermi level is 2.05 states/eV/cell.